Entry 1:
A relaxed structure of TbThTcOs. Source: Alexandria via LeMat-Bulk, functional PBE-GGA.

Values from the calculation:
Total DFT energy (no corrections), eV per atom: -8.500
Energy of formation, eV per atom: -0.089
Calculated density, g cm⁻³: 13.272

abc: 6.9790 6.9790 6.9790
angles: 90.00 90.00 90.00
Last column: nearest neighbours and their distance in Å.
Space group F-43m (No. 216)
Unique sites:
Tb1 0.0000 0.0000 0.0000 x4  4 Tc 3.02, 4 Os 3.02
Th1 0.0000 0.0000 0.5000 x4  4 Os 3.02, 4 Tc 3.02
Tc1 0.2500 0.2500 0.2500 x4  4 Tb 3.02, 4 Th 3.02
Os1 0.2500 0.2500 0.7500 x4  4 Tb 3.02, 4 Th 3.02

***

Entry 2:
A relaxed structure of RbCaCr2W. Source: Alexandria via LeMat-Bulk, functional PBE-GGA.

Values from the calculation:
Total DFT energy (no corrections), eV per atom: -5.545
Energy of formation, eV per atom: 1.489
Calculated density, g cm⁻³: 4.864

abc: 4.8529 4.8529 5.9922
angles: 90.00 90.00 90.00
Last column: nearest neighbours and their distance in Å.
Space group P4/mmm (No. 123)
Unique sites:
Rb1 0.0000 0.0000 0.0000 x1  2 W 3.00
Ca1 0.5000 0.5000 0.0000 x1  4 Rb 3.43
Cr1 0.0000 0.5000 0.5000 x2  2 W 2.43
W1 0.0000 0.0000 0.5000 x1  4 Cr 2.43